# 1
Density functional theory data (PBE) for crystalline Zn2CrSn at its relaxed geometry.

Output
- offset from the most stable computed form (meV per atom) = 397.6
- ΔE_f (eV per atom) = 0.553
- total DFT energy (no corrections) (eV/cell) = -55.848
- ρ (g/cm³) = 7.1

abc: 7.363 7.363 5.226
angles: 90.00 90.00 90.00
Space group I-42d (No. 122)
Inequivalent atoms, fractional coordinates:
Zn (0.221, 0.250, 0.125)
Cr (0.000, 0.000, 0.000)
Sn (0.000, 0.000, 0.500)


# 2
Density functional theory data (PBE) for crystalline Li2MgNi at its relaxed geometry.

Output
- ΔE_f (eV per atom) = 0.058
- total DFT energy (no corrections) (eV/cell) = -10.971
- ρ (g/cm³) = 2.7

abc: 2.814 3.915 5.482
angles: 90.00 90.00 90.00
Space group Pmmm (No. 47)
Inequivalent atoms, fractional coordinates:
Li (0.000, 0.000, 0.214)
Mg (0.500, 0.500, 0.500)
Ni (0.500, 0.500, 0.000)


# 3
Density functional theory data (PBE) for crystalline Sb2AsIr at its relaxed geometry.

Output
- raw formation energy (eV per atom) = 0.477
- offset from the most stable computed form (meV per atom) = 521.7
- total DFT energy (no corrections) (eV/cell) = -39.694
- ρ (g/cm³) = 10.2

abc: 4.563 4.563 7.946
angles: 90.00 90.00 90.00
Space group I-4m2 (No. 119)
Inequivalent atoms, fractional coordinates:
Sb (0.000, 0.000, 0.000)
Sb (0.000, 0.500, 0.250)
As (0.000, 0.500, 0.750)
Ir (0.000, 0.000, 0.500)


# 4
Density functional theory data (PBE) for crystalline LaO3 at its relaxed geometry.

Output
- raw formation energy (eV per atom) = -2.010
- offset from the most stable computed form (meV per atom) = 129.0
- total DFT energy (no corrections) (eV/cell) = -55.685
- ρ (g/cm³) = 4.8

abc: 4.245 4.872 7.104
angles: 102.86 90.03 115.67
Space group P-1 (No. 2)
Inequivalent atoms, fractional coordinates:
La (0.205, 0.410, 0.279)
O (0.060, 0.802, 0.119)
O (0.261, 0.200, 0.883)
O (0.329, 0.659, 0.606)


# 5
Density functional theory data (PBE) for crystalline FeTcPt at its relaxed geometry.

Output
- offset from the most stable computed form (meV per atom) = 123.4
- ΔE_f (eV per atom) = 0.059
- total DFT energy (no corrections) (eV/cell) = -49.385
- ρ (g/cm³) = 13.7

abc: 3.178 3.178 8.397
angles: 90.00 90.00 90.00
Space group I4mm (No. 107)
Inequivalent atoms, fractional coordinates:
Fe (0.000, 0.000, 0.000)
Tc (0.000, 0.000, 0.648)
Pt (0.000, 0.000, 0.333)


# 6
Density functional theory data (PBE) for crystalline TlSiPO2 at its relaxed geometry.

Output
- raw formation energy (eV per atom) = -0.812
- offset from the most stable computed form (meV per atom) = 0.0
- total DFT energy (no corrections) (eV/cell) = -27.178
- ρ (g/cm³) = 7.3

abc: 3.626 3.626 5.079
angles: 90.00 90.00 90.00
Space group P4/mmm (No. 123)
Inequivalent atoms, fractional coordinates:
Tl (0.000, 0.000, 0.000)
Si (0.500, 0.500, 0.500)
P (0.500, 0.500, 0.000)
O (0.000, 0.500, 0.500)


# 7
Density functional theory data (PBE) for crystalline VNi3Se6 at its relaxed geometry.

Output
- raw formation energy (eV per atom) = -0.327
- total DFT energy (no corrections) (eV/cell) = -151.916
- ρ (g/cm³) = 6.4

abc: 6.2736 6.2736 15.9001
angles: 90.00 90.00 120.00
Space group R3 (No. 146, hexagonal axes)
Inequivalent atoms, fractional coordinates:
V (0.0000, 0.0000, 0.0000)
Ni (0.0000, 0.0000, 0.3213)
Ni (0.0000, 0.0000, 0.5074)
Ni (0.0000, 0.0000, 0.8241)
Se (0.0036, 0.3177, 0.4147)
Se (0.0039, 0.6785, 0.9134)


# 8
Density functional theory data (PBE) for crystalline Sc2CuN at its relaxed geometry.

Output
- raw formation energy (eV per atom) = -0.021
- total DFT energy (no corrections) (eV/cell) = -75.509
- ρ (g/cm³) = 3.0

abc: 3.9242 3.9242 20.6560
angles: 90.00 90.00 120.00
Space group R-3m (No. 166, hexagonal axes)
Inequivalent atoms, fractional coordinates:
Sc (0.0000, 0.0000, 0.0895)
Cu (0.0000, 0.0000, 0.5000)
N (0.0000, 0.0000, 0.0000)


The records above yield DOS at the Fermi energy values of 0.00; 1.75; 5.29; 3.09; 7.29; 2.40; 24.86; 0.38 states/eV/cell, respectively.